# Pr2VB10 | the Alexandria database | PBE-GGA | optimized geometry
# - calculated volume (Å³ per cell) = 282.5
# - energy relative to the elements (eV per atom) = -0.41
# - spin magnetization (μB per formula unit) = 2.482
data_Pr2VB10
_chemical_formula_sum 'Pr4 V2 B20'
_symmetry_space_group_name_H-M 'P b a m'
_symmetry_Int_Tables_number 55
_cell_length_a 5.7994
_cell_length_b 11.5525
_cell_length_c 4.2160
_cell_angle_alpha 90.00
_cell_angle_beta 90.00
_cell_angle_gamma 90.00
loop_
_symmetry_equiv_pos_as_xyz
'x,y,z'
'-x,-y,-z'
'-x,-y,z'
'x,y,-z'
'x+1/2,-y+1/2,-z'
'-x+1/2,y+1/2,z'
'-x+1/2,y+1/2,-z'
'x+1/2,-y+1/2,z'
loop_
_atom_site_label
_atom_site_fract_x
_atom_site_fract_y
_atom_site_fract_z
Pr1 0.2042 0.1377 0.0000
V1 0.0000 0.5000 0.5000
B1 0.0589 0.3082 0.5000
B2 0.1199 0.9574 0.5000
B3 0.1354 0.8024 0.5000
B4 0.2222 0.3819 0.2011

# PrB2W | the Alexandria database | PBE-GGA | optimized geometry
# - calculated volume (Å³ per cell) = 183.0
# - energy relative to the elements (eV per atom) = 0.12
# - spin magnetization (μB per formula unit) = 0.000
data_PrB2W
_chemical_formula_sum 'Pr3 B6 W3'
_symmetry_space_group_name_H-M 'R -3 m'
_symmetry_Int_Tables_number 166
_symmetry_space_group_name_Hall '-R 3 2"'
_cell_length_a 3.4151
_cell_length_b 3.4151
_cell_length_c 18.1213
_cell_angle_alpha 90.00
_cell_angle_beta 90.00
_cell_angle_gamma 120.00
loop_
_atom_site_label
_atom_site_fract_x
_atom_site_fract_y
_atom_site_fract_z
Pr1 0.0000 0.0000 0.0000
B1 0.0000 0.0000 0.2292
W1 0.0000 0.0000 0.5000

# PrBW | the Alexandria database | PBE-GGA | optimized geometry
# - calculated volume (Å³ per cell) = 124.4
# - energy relative to the elements (eV per atom) = -0.04
# - spin magnetization (μB per formula unit) = 0.000
data_PrBW
_chemical_formula_sum 'Pr2 B2 W2'
_symmetry_space_group_name_H-M 'P 4/n m m'
_symmetry_Int_Tables_number 129
_cell_length_a 3.6915
_cell_length_b 3.6915
_cell_length_c 9.1284
_cell_angle_alpha 90.00
_cell_angle_beta 90.00
_cell_angle_gamma 90.00
loop_
_symmetry_equiv_pos_as_xyz
'x,y,z'
'-x,-y,-z'
'-y+1/2,x,z'
'y+1/2,-x,-z'
'-x+1/2,-y+1/2,z'
'x+1/2,y+1/2,-z'
'y,-x+1/2,z'
'-y,x+1/2,-z'
'x+1/2,-y,-z'
'-x+1/2,y,z'
'-y,-x,-z'
'y,x,z'
'-x,y+1/2,-z'
'x,-y+1/2,z'
'y+1/2,x+1/2,-z'
'-y+1/2,-x+1/2,z'
loop_
_atom_site_label
_atom_site_fract_x
_atom_site_fract_y
_atom_site_fract_z
Pr1 0.2500 0.2500 0.1941
B1 0.2500 0.2500 0.6628
W1 0.2500 0.7500 0.5000

# PrB4W | the Alexandria database | PBE-GGA | optimized geometry
# - calculated volume (Å³ per cell) = 272.8
# - energy relative to the elements (eV per atom) = -0.47
# - spin magnetization (μB per formula unit) = 0.000
data_PrB4W
_chemical_formula_sum 'Pr4 B16 W4'
_symmetry_space_group_name_H-M 'P b a m'
_symmetry_Int_Tables_number 55
_cell_length_a 6.1586
_cell_length_b 11.9146
_cell_length_c 3.7178
_cell_angle_alpha 90.00
_cell_angle_beta 90.00
_cell_angle_gamma 90.00
loop_
_symmetry_equiv_pos_as_xyz
'x,y,z'
'-x,-y,-z'
'-x,-y,z'
'x,y,-z'
'x+1/2,-y+1/2,-z'
'-x+1/2,y+1/2,z'
'-x+1/2,y+1/2,-z'
'x+1/2,-y+1/2,z'
loop_
_atom_site_label
_atom_site_fract_x
_atom_site_fract_y
_atom_site_fract_z
Pr1 0.1245 0.1503 0.0000
B1 0.0249 0.6901 0.5000
B2 0.1116 0.5458 0.5000
B3 0.1384 0.9675 0.5000
B4 0.2196 0.8157 0.5000
W1 0.1279 0.4169 0.0000

Raw total energy? In order: -181.56 -91.86 -49.03 -189.03 eV for the cell shown.